A plane-wave DFT calculation with PBE-GGA was carried out for BaOs2Pb after structural relaxation.

Values from the calculation:
The energy is -5.60 eV/atom. The total magnetic moment comes out at 0.00 μB/f.u.

Cell lengths 9.4806, 9.4806, 9.4806 Å; angles 20.21, 20.21, 20.21 degrees
Last column: nearest neighbours and their distance in Å.
Element x y z (fractional)
1 Ba 0.0000 0.0000 0.0000  6 Os 3.23, 6 Ba 3.33
2 Os 0.2399 0.2399 0.2399  3 Pb 2.80
3 Os 0.7601 0.7601 0.7601  3 Pb 2.80
4 Pb 0.5000 0.5000 0.5000  6 Os 2.80